Li3TaPd12 | PBE | relaxed

Computed properties:
Energy (eV for the cell shown): -85.2
Total magnetic moment (μB per atom): 0.00
ΔH_f (0 K) (meV per atom): -332

a b c (Å): 3.933 3.933 15.504
angles (deg): 90.00 90.00 90.00
Space group P4/mmm (No. 123)
Symmetry-distinct sites (fractional):
Li 0.000 0.000 0.000 (multiplicity 1)
Li 0.000 0.000 0.245 (multiplicity 2)
Ta 0.000 0.000 0.500 (multiplicity 1)
Pd 0.000 0.500 0.123 (multiplicity 4)
Pd 0.000 0.500 0.375 (multiplicity 4)
Pd 0.500 0.500 0.000 (multiplicity 1)
Pd 0.500 0.500 0.248 (multiplicity 2)
Pd 0.500 0.500 0.500 (multiplicity 1)

=====

LiPmHgCl6 | PBE | relaxed

Computed properties:
Energy (eV for the cell shown): -64.0
Total magnetic moment (μB per atom): 0.00

a b c (Å): 6.7737 6.7737 12.1244
angles (deg): 90.00 90.00 120.00
Space group P-31c (No. 163)
Symmetry-distinct sites (fractional):
Li 0.0000 0.0000 0.0000 (multiplicity 2)
Pm 0.3333 0.6667 0.2500 (multiplicity 2)
Hg 0.3333 0.6667 0.7500 (multiplicity 2)
Cl 0.0016 0.3332 0.6236 (multiplicity 12)

=====

Ti2GaPt5 | PBE | relaxed

Computed properties:
Energy (eV for the cell shown): -110.2
Total magnetic moment (μB per atom): 0.00
ΔH_f (0 K) (meV per atom): -762

a b c (Å): 5.576 11.188 3.956
angles (deg): 90.00 90.00 90.00
Space group Pbam (No. 55)
Symmetry-distinct sites (fractional):
Ti 0.222 0.135 0.000 (multiplicity 4)
Ga 0.000 0.500 0.500 (multiplicity 2)
Pt 0.000 0.000 0.500 (multiplicity 2)
Pt 0.020 0.746 0.500 (multiplicity 4)
Pt 0.226 0.385 0.000 (multiplicity 4)

=====

MgGeP | PBE | relaxed

Computed properties:
Polymorph energy (0 for the lowest one) (meV per atom): 0
Energy (eV for the cell shown): -25.1
Total magnetic moment (μB per atom): 0.00
ΔH_f (0 K) (meV per atom): -308

a b c (Å): 4.294 4.294 9.031
angles (deg): 90.00 76.26 60.00
Space group P1 (No. 1)
Symmetry-distinct sites (fractional):
Mg 0.000 0.000 0.000 (multiplicity 1)
Mg 0.497 0.751 0.261 (multiplicity 1)
Ge 0.614 0.190 0.585 (multiplicity 1)
Ge 0.888 0.553 0.675 (multiplicity 1)
P 0.703 0.649 0.946 (multiplicity 1)
P 0.795 0.103 0.314 (multiplicity 1)